Computed, not measured: a relaxed DyTm2Mg3CdGa2 crystal at the PBE-GGA level of DFT.

Output
VASP energy ... -3.22 eV/atom
Symmetry ... No. 38

abc: 4.4424 7.3273 7.3273
angles: 120.30 90.00 90.00
Closest atoms and distances in Å follow each position.
Atoms (fractional coordinates):
Tm  0.0000  0.4323  0.9993  4 Ga 3.10, 1 Cd 3.16, 2 Mg 3.22
Tm  0.0000  0.9993  0.4323  4 Ga 3.10, 1 Cd 3.16, 2 Mg 3.22
Mg  0.5000  0.2492  0.2492  2 Ga 2.80, 2 Cd 2.86
Cd  0.0000  0.0026  0.0026  6 Mg 2.86-2.88, 2 Tm 3.16, 1 Dy 3.18
Ga  0.5000  0.3316  0.6668  3 Mg 2.79-2.80, 4 Tm 3.10, 2 Dy 3.12
Dy  0.0000  0.5671  0.5671  4 Ga 3.12, 1 Cd 3.18, 2 Mg 3.21
Ga  0.5000  0.6668  0.3316  3 Mg 2.79-2.80, 4 Tm 3.10, 2 Dy 3.12
Mg  0.5000  0.7510  0.0000  2 Ga 2.79-2.80, 2 Cd 2.88
Mg  0.5000  0.0000  0.7510  2 Ga 2.79-2.80, 2 Cd 2.88